# 1
This record from the Open Quantum Materials Database describes a geometry-optimized AlGeMo6 structure. The functional is PBE-GGA.

The structure in extended XYZ format:
```
8
Lattice="4.969 0.000 0.000 0.000 4.969 0.000 0.000 0.000 4.969" Properties=species:S:1:pos:R:3 pbc="T T T"
Al 0.000 0.000 0.000
Ge 2.485 2.485 2.485
Mo 0.000 2.485 1.242
Mo 0.000 2.485 3.727
Mo 1.242 0.000 2.485
Mo 2.485 1.242 0.000
Mo 2.485 3.727 0.000
Mo 3.727 0.000 2.485
```

Summary:
- total energy (eV per atom) = -9.38

# 2
This record from the Open Quantum Materials Database describes a geometry-optimized AlGe2Mo structure. The functional is PBE-GGA.

The structure in extended XYZ format:
```
16
Lattice="6.427 0.000 0.000 0.000 6.427 0.000 0.000 0.000 6.427" Properties=species:S:1:pos:R:3 pbc="T T T"
Al 0.000 0.000 0.000
Al 0.000 3.213 3.213
Al 3.213 0.000 3.213
Al 3.213 3.213 0.000
Ge 0.000 0.000 3.213
Ge 0.000 3.213 0.000
Ge 1.607 1.607 4.820
Ge 1.607 4.820 1.607
Ge 3.213 0.000 0.000
Ge 3.213 3.213 3.213
Ge 4.820 1.607 1.607
Ge 4.820 4.820 4.820
Mo 1.607 1.607 1.607
Mo 1.607 4.820 4.820
Mo 4.820 1.607 4.820
Mo 4.820 4.820 1.607
```

Summary:
- total energy (eV per atom) = -5.48

# 3
This record from the Open Quantum Materials Database describes a geometry-optimized Al2GeMo2 structure. The functional is PBE-GGA.

The structure in extended XYZ format:
```
10
Lattice="3.494 0.000 0.000 0.000 3.494 0.000 0.000 0.000 13.625" Properties=species:S:1:pos:R:3 pbc="T T T"
Al 0.000 1.747 3.406
Al 0.000 1.747 10.219
Al 1.747 0.000 3.406
Al 1.747 0.000 10.219
Ge 0.000 0.000 0.000
Ge 1.747 1.747 6.812
Mo 0.000 0.000 5.524
Mo 0.000 0.000 8.101
Mo 1.747 1.747 1.288
Mo 1.747 1.747 12.337
```

Summary:
- total energy (eV per atom) = -6.53

# 4
This record from the Open Quantum Materials Database describes a geometry-optimized Nb4AlGeN2 structure. The functional is PBE-GGA.

The structure in extended XYZ format:
```
8
Lattice="3.042 0.000 0.000 -1.521 2.634 0.000 0.000 0.000 14.056" Properties=species:S:1:pos:R:3 pbc="T T T"
Nb 0.000 0.000 2.137
Nb 0.000 0.000 11.919
Nb 1.521 0.878 4.804
Nb 1.521 0.878 9.252
Al 0.000 0.000 7.028
Ge 1.521 0.878 0.000
N 0.000 1.756 3.471
N 0.000 1.756 10.585
```

Summary:
- total energy (eV per atom) = -8.81

# 5
This record from the Open Quantum Materials Database describes a geometry-optimized AlGeW4N2 structure. The functional is PBE-GGA.

The structure in extended XYZ format:
```
8
Lattice="2.860 0.000 0.000 -1.430 2.477 0.000 0.000 0.000 14.665" Properties=species:S:1:pos:R:3 pbc="T T T"
Al 0.000 0.000 0.000
Ge 1.430 0.826 7.332
W 0.000 0.000 5.156
W 0.000 0.000 9.509
W 1.430 0.826 2.263
W 1.430 0.826 12.402
N 0.000 1.651 3.707
N 0.000 1.651 10.958
```

Summary:
- total energy (eV per atom) = -9.47

# 6
This record from the Open Quantum Materials Database describes a geometry-optimized Zr4AlGeN2 structure. The functional is PBE-GGA.

The structure in extended XYZ format:
```
8
Lattice="3.264 0.000 0.000 -1.632 2.827 0.000 0.000 0.000 14.048" Properties=species:S:1:pos:R:3 pbc="T T T"
Zr 0.000 0.000 2.162
Zr 0.000 0.000 11.886
Zr 1.632 0.942 4.725
Zr 1.632 0.942 9.324
Al 0.000 0.000 7.024
Ge 1.632 0.942 0.000
N 0.000 1.885 3.456
N 0.000 1.885 10.592
```

Summary:
- total energy (eV per atom) = -8.52

# 7
This record from the Open Quantum Materials Database describes a geometry-optimized Na2Sc2AlGePt2 structure. The functional is PBE-GGA.

The structure in extended XYZ format:
```
8
Lattice="4.589 0.000 0.000 0.000 4.589 0.000 0.000 0.000 6.594" Properties=species:S:1:pos:R:3 pbc="T T T"
Na 0.000 2.294 1.633
Na 2.294 0.000 4.961
Sc 0.000 0.000 0.000
Sc 2.294 2.294 3.297
Al 0.000 0.000 3.297
Ge 2.294 2.294 0.000
Pt 0.000 2.294 4.902
Pt 2.294 0.000 1.692
```

Summary:
- total energy (eV per atom) = -5.05

# 8
This record from the Open Quantum Materials Database describes a geometry-optimized Nd2AlGe structure. The functional is PBE-GGA.

The structure in extended XYZ format:
```
8
Lattice="6.103 0.000 0.000 0.000 4.119 0.000 -2.739 0.000 8.422" Properties=species:S:1:pos:R:3 pbc="T T T"
Nd 0.092 1.030 3.597
Nd 1.541 3.089 0.577
Nd 1.823 1.030 7.845
Nd 3.272 3.089 4.826
Al 0.225 3.089 6.029
Al 3.138 1.030 2.393
Ge -1.293 1.030 6.646
Ge 4.657 3.089 1.777
```

Summary:
- total energy (eV per atom) = -5.13

# 9
This record from the Open Quantum Materials Database describes a geometry-optimized Nd2AlGe structure. The functional is PBE-GGA.

The structure in extended XYZ format:
```
8
Lattice="4.123 0.000 0.000 0.000 4.499 0.000 0.000 0.000 11.351" Properties=species:S:1:pos:R:3 pbc="T T T"
Nd 0.000 0.000 0.000
Nd 0.000 2.249 5.676
Nd 2.061 0.000 3.216
Nd 2.061 2.249 8.892
Al 2.061 0.000 6.487
Al 2.061 2.249 0.811
Ge 0.000 0.000 8.121
Ge 0.000 2.249 2.445
```

Summary:
- total energy (eV per atom) = -5.14

# 10
This record from the Open Quantum Materials Database describes a geometry-optimized NdAlGe2O7 structure. The functional is PBE-GGA.

The structure in extended XYZ format:
```
44
Lattice="7.194 0.000 0.000 0.000 6.541 0.000 -5.869 0.000 11.281" Properties=species:S:1:pos:R:3 pbc="T T T"
Nd -1.096 0.964 5.357
Nd -4.030 2.307 10.998
Nd 5.355 4.234 0.283
Nd 2.421 5.578 5.924
Al -2.756 0.676 8.236
Al 0.179 2.595 2.596
Al 1.147 3.946 8.685
Al 4.081 5.866 3.045
Ge -1.139 4.298 5.096
Ge -4.073 5.514 10.736
Ge -2.070 3.860 8.130
Ge 0.865 5.952 2.490
Ge 0.461 0.590 8.791
Ge 3.395 2.681 3.151
Ge 5.398 1.027 0.545
Ge 2.464 2.243 6.186
O -5.353 4.324 10.341
O -2.418 5.488 4.701
O 0.043 4.448 2.103
O -2.891 5.364 7.743
O -3.617 0.345 9.759
O -0.683 2.926 4.119
O -0.046 0.761 3.133
O -2.981 2.510 8.774
O 1.346 0.007 0.838
O -1.588 3.264 6.478
O -2.791 4.412 11.014
O 0.143 5.399 5.373
O -1.012 0.807 7.859
O 1.922 2.464 2.218
O -0.597 4.078 9.063
O 2.337 5.734 3.423
O 1.182 1.142 5.908
O 4.116 2.129 0.268
O 2.913 3.277 4.803
O -0.021 6.535 10.443
O 4.306 4.032 2.507
O 1.371 5.780 8.148
O 2.008 3.615 7.163
O 4.942 6.197 1.522
O 4.216 1.178 3.538
O 1.282 2.093 9.178
O 3.743 1.053 6.580
O 6.678 2.218 0.940
```

Summary:
- total energy (eV per atom) = -7.18

# 11
This record from the Open Quantum Materials Database describes a geometry-optimized Nd3Al3GePd2 structure. The functional is PBE-GGA.

The structure in extended XYZ format:
```
9
Lattice="7.767 0.000 0.000 -3.884 6.727 0.000 0.000 0.000 4.102" Properties=species:S:1:pos:R:3 pbc="T T T"
Nd -2.806 4.861 0.000
Nd 1.077 1.866 0.000
Nd 5.612 0.000 0.000
Al -1.577 2.731 2.051
Al 3.154 0.000 2.051
Al 2.307 3.995 2.051
Ge 0.000 0.000 2.051
Pd 0.000 4.485 0.000
Pd 3.884 2.242 0.000
```

Summary:
- energy relative to the lowest polymorph listed for this composition (meV/atom) = 354.0

# 12
This record from the Open Quantum Materials Database describes a geometry-optimized Nd3Al3GePd2 structure. The functional is PBE-GGA.

The structure in extended XYZ format:
```
9
Lattice="7.608 0.000 0.000 -3.804 6.589 0.000 0.000 0.000 3.952" Properties=species:S:1:pos:R:3 pbc="T T T"
Nd -1.528 2.647 0.000
Nd 3.056 0.000 0.000
Nd 2.276 3.942 0.000
Al -2.839 4.917 1.976
Al 0.965 1.671 1.976
Al 5.678 0.000 1.976
Ge 0.000 0.000 0.000
Pd 0.000 4.392 1.976
Pd 3.804 2.196 1.976
```

Summary:
- energy relative to the lowest polymorph listed for this composition (meV/atom) = 0.0

# 13
This record from the Open Quantum Materials Database describes a geometry-optimized NdAl3Zn2Ge2Pt structure. The functional is PBE-GGA.

The structure in extended XYZ format:
```
9
Lattice="4.130 0.000 0.000 0.000 5.904 3.426 0.000 -5.904 3.426" Properties=species:S:1:pos:R:3 pbc="T T T"
Nd 0.000 0.000 0.000
Al 2.065 -1.398 2.140
Al 2.065 1.398 2.140
Al 2.065 0.000 4.570
Zn 0.000 -2.396 4.113
Zn 0.000 2.396 4.113
Ge 2.065 -3.780 3.005
Ge 2.065 3.780 3.005
Pt 0.000 0.000 3.080
```

Summary:
- total energy (eV per atom) = -4.20

# 14
This record from the Open Quantum Materials Database describes a geometry-optimized AlNiGe2 structure. The functional is PBE-GGA.

The structure in extended XYZ format:
```
16
Lattice="6.310 0.000 0.000 0.000 6.310 0.000 0.000 0.000 6.310" Properties=species:S:1:pos:R:3 pbc="T T T"
Al 0.000 0.000 0.000
Al 0.000 3.155 3.155
Al 3.155 0.000 3.155
Al 3.155 3.155 0.000
Ni 1.578 1.578 1.578
Ni 1.578 4.733 4.733
Ni 4.733 1.578 4.733
Ni 4.733 4.733 1.578
Ge 0.000 0.000 3.155
Ge 0.000 3.155 0.000
Ge 1.578 1.578 4.733
Ge 1.578 4.733 1.578
Ge 3.155 0.000 0.000
Ge 3.155 3.155 3.155
Ge 4.733 1.578 1.578
Ge 4.733 4.733 4.733
```

Summary:
- total energy (eV per atom) = -4.47

# 15
This record from the Open Quantum Materials Database describes a geometry-optimized Al2NiGe structure. The functional is PBE-GGA.

The structure in extended XYZ format:
```
16
Lattice="6.236 0.000 0.000 0.000 6.236 0.000 0.000 0.000 6.236" Properties=species:S:1:pos:R:3 pbc="T T T"
Al 0.000 0.000 0.000
Al 0.000 3.118 3.118
Al 1.559 1.559 1.559
Al 1.559 4.677 4.677
Al 3.118 0.000 3.118
Al 3.118 3.118 0.000
Al 4.677 1.559 4.677
Al 4.677 4.677 1.559
Ni 0.000 0.000 3.118
Ni 0.000 3.118 0.000
Ni 3.118 0.000 0.000
Ni 3.118 3.118 3.118
Ge 1.559 1.559 4.677
Ge 1.559 4.677 1.559
Ge 4.677 1.559 1.559
Ge 4.677 4.677 4.677
```

Summary:
- total energy (eV per atom) = -4.37

# 16
This record from the Open Quantum Materials Database describes a geometry-optimized AlNi6Ge structure. The functional is PBE-GGA.

The structure in extended XYZ format:
```
8
Lattice="4.019 0.000 0.000 0.000 4.019 0.000 0.000 0.000 5.682" Properties=species:S:1:pos:R:3 pbc="T T T"
Al 0.000 0.000 0.000
Ni 0.000 0.000 2.841
Ni 0.000 2.009 1.436
Ni 0.000 2.009 4.246
Ni 2.009 0.000 1.436
Ni 2.009 0.000 4.246
Ni 2.009 2.009 0.000
Ge 2.009 2.009 2.841
```

Summary:
- total energy (eV per atom) = -5.54

# 17
This record from the Open Quantum Materials Database describes a geometry-optimized AlNiGe structure. The functional is PBE-GGA.

The structure in extended XYZ format:
```
12
Lattice="5.646 0.000 0.000 0.000 5.646 0.000 0.000 0.000 5.646" Properties=species:S:1:pos:R:3 pbc="T T T"
Al 0.000 0.000 0.000
Al 0.000 2.823 2.823
Al 2.823 0.000 2.823
Al 2.823 2.823 0.000
Ni 1.412 1.412 1.412
Ni 1.412 4.235 4.235
Ni 4.235 1.412 4.235
Ni 4.235 4.235 1.412
Ge 0.000 0.000 2.823
Ge 0.000 2.823 0.000
Ge 2.823 0.000 0.000
Ge 2.823 2.823 2.823
```

Summary:
- total energy (eV per atom) = -5.06

# 18
This record from the Open Quantum Materials Database describes a geometry-optimized Sc3Al3Ni2Ge structure. The functional is PBE-GGA.

The structure in extended XYZ format:
```
9
Lattice="6.986 0.000 0.000 -3.493 6.050 0.000 0.000 0.000 3.597" Properties=species:S:1:pos:R:3 pbc="T T T"
Sc -1.399 2.422 0.000
Sc 2.797 0.000 0.000
Sc 2.094 3.627 0.000
Al -2.532 4.386 1.798
Al 0.961 1.664 1.798
Al 5.064 0.000 1.798
Ni 0.000 4.033 1.798
Ni 3.493 2.017 1.798
Ge 0.000 0.000 0.000
```

Summary:
- energy relative to the lowest polymorph listed for this composition (meV/atom) = 0.0

# 19
This record from the Open Quantum Materials Database describes a geometry-optimized Sc3Al3Ni2Ge structure. The functional is PBE-GGA.

The structure in extended XYZ format:
```
9
Lattice="7.620 0.000 0.000 -3.810 6.599 0.000 0.000 0.000 2.987" Properties=species:S:1:pos:R:3 pbc="T T T"
Sc -1.140 1.974 0.000
Sc 2.280 0.000 0.000
Sc 2.670 4.624 0.000
Al -2.361 4.090 1.494
Al 1.449 2.509 1.494
Al 4.723 0.000 1.494
Ni 0.000 4.399 0.000
Ni 3.810 2.200 0.000
Ge 0.000 0.000 1.494
```

Summary:
- energy relative to the lowest polymorph listed for this composition (meV/atom) = 239.3

# 20
This record from the Open Quantum Materials Database describes a geometry-optimized TmSc2Al3NiGe2 structure. The functional is PBE-GGA.

The structure in extended XYZ format:
```
9
Lattice="4.035 0.000 0.000 0.000 5.859 3.356 0.000 -5.859 3.356" Properties=species:S:1:pos:R:3 pbc="T T T"
Tm 0.000 0.000 0.000
Sc 0.000 -2.365 2.636
Sc 0.000 2.365 2.636
Al 2.018 0.000 2.424
Al 2.018 -1.371 4.746
Al 2.018 1.371 4.746
Ni 0.000 0.000 3.937
Ge 2.018 -3.863 3.993
Ge 2.018 3.863 3.993
```

Summary:
- total energy (eV per atom) = -5.53